NaMoRh2: optimized geometry, GGA-PBE.

Results
Crystal system: tetragonal
DFT formation energy in meV per atom: 558
Polymorph energy (0 for the lowest one) in eV/f.u.: 1.017

Lattice parameters (Å, degrees): 7.095 7.095 5.779 52.13 52.13 90.00
Fractional positions:
Na  0.500  0.500  0.000
Na  0.250  0.750  0.500
Mo  0.000  0.000  0.000
Mo  0.750  0.250  0.500
Rh  0.668  0.125  0.250
Rh  0.082  0.625  0.250
Rh  0.375  0.332  0.750
Rh  0.875  0.918  0.750